Entry from Alexandria: a relaxed Pr12Co6Pd crystal (PBE).

a b c (Å): 8.664 8.664 8.664
angles (deg): 109.47 109.47 109.47
Fractional positions:
Pr1 0.303 0.111 0.808
Pr2 0.303 0.495 0.192
Pr3 0.697 0.505 0.808
Pr4 0.697 0.889 0.192
Pr5 0.111 0.808 0.303
Pr6 0.495 0.192 0.303
Pr7 0.505 0.808 0.697
Pr8 0.889 0.192 0.697
Pr9 0.808 0.303 0.111
Pr10 0.192 0.303 0.495
Pr11 0.808 0.697 0.505
Pr12 0.192 0.697 0.889
Co1 0.388 0.500 0.888
Co2 0.612 0.500 0.112
Co3 0.500 0.888 0.388
Co4 0.500 0.112 0.612
Co5 0.888 0.388 0.500
Co6 0.112 0.612 0.500
Pd1 0.000 0.000 0.000

Summary:
- V: 500.6 Å³/cell
- DFT formation energy: -0.1056 eV per atom